[1]
A geometry-optimized InP5Ir3 structure, computed with GGA-PBE.

Computed properties:
calculated total energy: -6.144 eV/atom

Structure (CIF):
```
data_InP5Ir3
_chemical_formula_sum 'In1 P5 Ir3'
_cell_length_a 5.9052
_cell_length_b 5.9052
_cell_length_c 5.3702
_cell_angle_alpha 90.00
_cell_angle_beta 90.00
_cell_angle_gamma 120.00
_space_group_name_H-M_alt 'P 1'
_space_group_IT_number 1
loop_
_space_group_symop_operation_xyz
'x,y,z'
loop_
_atom_site_label
_atom_site_type_symbol
_atom_site_fract_x
_atom_site_fract_y
_atom_site_fract_z
In1 In 0.0000 0.0000 0.0000
P1 P 0.0000 0.0000 0.5000
P2 P 0.3333 0.6667 0.1966
P3 P 0.3333 0.6667 0.8034
P4 P 0.6667 0.3333 0.1966
P5 P 0.6667 0.3333 0.8034
Ir1 Ir 0.0000 0.5000 0.5000
Ir2 Ir 0.5000 0.0000 0.5000
Ir3 Ir 0.5000 0.5000 0.5000
```

[2]
A geometry-optimized Sr2Pt structure, computed with GGA-PBE.

Computed properties:
calculated total energy: -3.769 eV/atom

Structure (CIF):
```
data_Sr2Pt
_chemical_formula_sum 'Sr6 Pt3'
_cell_length_a 4.3816
_cell_length_b 4.3816
_cell_length_c 20.4546
_cell_angle_alpha 90.00
_cell_angle_beta 90.00
_cell_angle_gamma 120.00
_space_group_name_H-M_alt 'P 1'
_space_group_IT_number 1
loop_
_space_group_symop_operation_xyz
'x,y,z'
loop_
_atom_site_label
_atom_site_type_symbol
_atom_site_fract_x
_atom_site_fract_y
_atom_site_fract_z
Sr1 Sr 0.0000 0.0000 0.2457
Sr2 Sr 0.0000 0.0000 0.7543
Sr3 Sr 0.3333 0.6667 0.5788
Sr4 Sr 0.3333 0.6667 0.9126
Sr5 Sr 0.6667 0.3333 0.0874
Sr6 Sr 0.6667 0.3333 0.4212
Pt1 Pt 0.0000 0.0000 0.5000
Pt2 Pt 0.3333 0.6667 0.1663
Pt3 Pt 0.6667 0.3333 0.8337
```

[3]
A geometry-optimized GeMo2Au structure, computed with GGA-PBE.

Computed properties:
calculated total energy: -6.932 eV/atom

Structure (CIF):
```
data_GeMo2Au
_chemical_formula_sum 'Ge1 Mo2 Au1'
_cell_length_a 4.5244
_cell_length_b 4.5244
_cell_length_c 4.5244
_cell_angle_alpha 60.00
_cell_angle_beta 60.00
_cell_angle_gamma 60.00
_space_group_name_H-M_alt 'P 1'
_space_group_IT_number 1
loop_
_space_group_symop_operation_xyz
'x,y,z'
loop_
_atom_site_label
_atom_site_type_symbol
_atom_site_fract_x
_atom_site_fract_y
_atom_site_fract_z
Ge1 Ge 0.0000 0.0000 0.0000
Mo1 Mo 0.5000 0.5000 0.5000
Mo2 Mo 0.7500 0.7500 0.7500
Au1 Au 0.2500 0.2500 0.2500
```

[4]
A geometry-optimized TcNiAsIr structure, computed with GGA-PBE.

Computed properties:
calculated total energy: -7.198 eV/atom

Structure (CIF):
```
data_TcNiAsIr
_chemical_formula_sum 'Tc1 Ni1 As1 Ir1'
_cell_length_a 4.3005
_cell_length_b 4.3005
_cell_length_c 4.3005
_cell_angle_alpha 60.00
_cell_angle_beta 60.00
_cell_angle_gamma 60.00
_space_group_name_H-M_alt 'P 1'
_space_group_IT_number 1
loop_
_space_group_symop_operation_xyz
'x,y,z'
loop_
_atom_site_label
_atom_site_type_symbol
_atom_site_fract_x
_atom_site_fract_y
_atom_site_fract_z
Tc1 Tc 0.0000 0.0000 0.0000
Ni1 Ni 0.5000 0.5000 0.5000
As1 As 0.2500 0.2500 0.2500
Ir1 Ir 0.7500 0.7500 0.7500
```